[1]
DFT (GGA-PBE) results for a relaxed structure of PuPa2Au8.

Properties
Density ... 15.762 g/cm3
Crystal system ... monoclinic
M_tot ... 4.9 μB per formula unit
Energy of formation from the pure elements ... -410 kJ/mol of formula units

a = 7.979 Å, b = 15.289 Å, c = 5.169 Å
α = 90.00°, β = 130.32°, γ = 90.00°
Space group C2/m (No. 12)
Inequivalent atoms, fractional coordinates:
Pu (0.000, 0.000, 0.000)
Pa (0.000, 0.318, 0.500)
Au (0.000, 0.202, 0.000)
Au (0.002, 0.500, 0.251)
Au (0.229, 0.138, 0.730)

***

[2]
DFT (GGA-PBE) results for a relaxed structure of Y2ScNbFe.

Properties
Density ... 4.874 g/cm3
Crystal system ... tetragonal
M_tot ... 2.1 μB per formula unit
Energy of formation from the pure elements ... 556 kJ/mol of formula units

a = 5.499 Å, b = 5.499 Å, c = 4.186 Å
α = 90.00°, β = 90.00°, γ = 90.00°
Space group P4/mmm (No. 123)
Inequivalent atoms, fractional coordinates:
Y (0.000, 0.500, 0.000)
Sc (0.000, 0.000, 0.000)
Nb (0.500, 0.500, 0.500)
Fe (0.000, 0.000, 0.500)

***

[3]
DFT (GGA-PBE) results for a relaxed structure of LiHfMg3.

Properties
Density ... 2.343 g/cm3
Crystal system ... cubic
M_tot ... 1.5 μB per formula unit
Energy of formation from the pure elements ... 507 kJ/mol of formula units
Excess energy over the best structure of this formula in the dataset ... 0.5959 eV per atom

a = 5.679 Å, b = 5.679 Å, c = 5.679 Å
α = 90.00°, β = 90.00°, γ = 90.00°
Space group Pm-3m (No. 221)
Inequivalent atoms, fractional coordinates:
Li (0.000, 0.000, 0.000)
Hf (0.500, 0.500, 0.500)
Mg (0.000, 0.500, 0.500)

***

[4]
DFT (GGA-PBE) results for a relaxed structure of K4Ho3InS8.

Properties
Density ... 4.131 g/cm3
Uncorrected formation energy ... -1.623 eV per atom
Crystal system ... trigonal
M_tot ... 0.0 μB per formula unit

a = 8.0214 Å, b = 8.0214 Å, c = 22.1295 Å
α = 90.00°, β = 90.00°, γ = 120.00°
Space group R-3m (No. 166, hexagonal axes)
Inequivalent atoms, fractional coordinates:
K (0.0000, 0.0000, 0.0000)
K (0.0000, 0.5000, 0.0000)
Ho (0.0000, 0.5000, 0.5000)
In (0.0000, 0.0000, 0.5000)
S (0.0000, 0.0000, 0.2336)
S (0.0040, 0.5020, 0.2335)